(1)
First-principles (PBE) data for Li3MgRh after structural relaxation, as listed in Alexandria via LeMat-Bulk.

E above lowest polymorph (meV/atom): 136
Space-group type: No. 11
Calculated formation energy (eV/f.u.): 0.39

Unit cell a=5.336 b=4.724 c=7.973 alpha=90.00 beta=109.41 gamma=90.00
Fractional positions:
Li1 0.000 0.000 0.000
Li2 0.000 0.500 0.000
Li3 0.129 0.250 0.715
Li4 0.414 0.750 0.285
Li5 0.586 0.250 0.715
Li6 0.871 0.750 0.285
Mg1 0.190 0.250 0.382
Mg2 0.810 0.750 0.618
Rh1 0.284 0.750 0.566
Rh2 0.716 0.250 0.434


(2)
First-principles (PBE) data for LiMgRh after structural relaxation, as listed in Alexandria via LeMat-Bulk.

E above lowest polymorph (meV/atom): 56
Space-group type: No. 12
Calculated formation energy (eV/f.u.): -0.68

Unit cell a=4.470 b=4.470 c=5.285 alpha=90.09 beta=90.09 gamma=59.97
Fractional positions:
Li1 0.000 0.000 0.219
Li2 0.000 0.000 0.781
Mg1 0.333 0.333 0.367
Mg2 0.667 0.667 0.633
Rh1 0.334 0.334 0.875
Rh2 0.666 0.666 0.125


(3)
First-principles (PBE) data for Li8MgRh2 after structural relaxation, as listed in Alexandria via LeMat-Bulk.

E above lowest polymorph (meV/atom): 83
Space-group type: No. 12
Calculated formation energy (eV/f.u.): 0.50

Unit cell a=6.835 b=6.835 c=4.569 alpha=96.18 beta=96.18 gamma=89.59
Fractional positions:
Li1 0.090 0.090 0.306
Li2 0.107 0.599 0.313
Li3 0.233 0.233 0.902
Li4 0.401 0.893 0.687
Li5 0.599 0.107 0.313
Li6 0.767 0.767 0.098
Li7 0.893 0.401 0.687
Li8 0.910 0.910 0.694
Mg1 0.500 0.500 0.000
Rh1 0.360 0.360 0.460
Rh2 0.640 0.640 0.540


(4)
First-principles (PBE) data for Li4Mg9Rh after structural relaxation, as listed in Alexandria via LeMat-Bulk.

Space-group type: No. 194
Calculated formation energy (eV/f.u.): -1.61

Unit cell a=8.438 b=8.438 c=9.357 alpha=90.00 beta=90.00 gamma=120.00
Fractional positions:
Li1 0.000 0.000 0.000
Li2 0.000 0.000 0.500
Li3 0.111 0.222 0.250
Li4 0.111 0.889 0.250
Li5 0.222 0.111 0.750
Li6 0.778 0.889 0.250
Li7 0.889 0.111 0.750
Li8 0.889 0.778 0.750
Mg1 0.061 0.531 0.250
Mg2 0.207 0.413 0.546
Mg3 0.207 0.413 0.954
Mg4 0.207 0.793 0.546
Mg5 0.207 0.793 0.954
Mg6 0.413 0.207 0.046
Mg7 0.413 0.207 0.454
Mg8 0.469 0.531 0.250
Mg9 0.469 0.939 0.250
Mg10 0.531 0.061 0.750
Mg11 0.531 0.469 0.750
Mg12 0.587 0.793 0.546
Mg13 0.587 0.793 0.954
Mg14 0.793 0.207 0.046
Mg15 0.793 0.207 0.454
Mg16 0.793 0.587 0.046
Mg17 0.793 0.587 0.454
Mg18 0.939 0.469 0.750
Rh1 0.333 0.667 0.750
Rh2 0.667 0.333 0.250


(5)
First-principles (PBE) data for Li14MgRh after structural relaxation, as listed in Alexandria via LeMat-Bulk.

Space-group type: No. 38
Calculated formation energy (eV/f.u.): -0.38

Unit cell a=9.615 b=6.077 c=6.077 alpha=54.73 beta=90.00 gamma=90.00
Fractional positions:
Li1 0.000 0.000 0.000
Li2 0.000 0.487 0.487
Li3 0.000 0.493 0.993
Li4 0.000 0.993 0.493
Li5 0.243 0.849 0.849
Li6 0.263 0.337 0.856
Li7 0.263 0.856 0.337
Li8 0.279 0.326 0.326
Li9 0.500 0.193 0.701
Li10 0.500 0.701 0.193
Li11 0.721 0.326 0.326
Li12 0.737 0.337 0.856
Li13 0.737 0.856 0.337
Li14 0.757 0.849 0.849
Mg1 0.500 0.699 0.699
Rh1 0.500 0.179 0.179


(6)
First-principles (PBE) data for LiMg2Rh after structural relaxation, as listed in Alexandria via LeMat-Bulk.

Space-group type: No. 119
Calculated formation energy (eV/f.u.): -1.06

Unit cell a=5.033 b=5.033 c=5.033 alpha=133.84 beta=133.84 gamma=67.34
Fractional positions:
Li1 0.000 0.000 0.000
Mg1 0.250 0.750 0.500
Mg2 0.500 0.500 0.000
Rh1 0.750 0.250 0.500


(7)
First-principles (PBE) data for LiMgRh after structural relaxation, as listed in Alexandria via LeMat-Bulk.

E above lowest polymorph (meV/atom): 28
Space-group type: No. 156
Calculated formation energy (eV/f.u.): -0.76

Unit cell a=4.282 b=4.282 c=2.836 alpha=90.00 beta=90.00 gamma=120.00
Fractional positions:
Li1 0.000 0.000 0.000
Mg1 0.333 0.667 0.353
Rh1 0.667 0.333 0.770


(8)
First-principles (PBE) data for LiMg2Rh after structural relaxation, as listed in Alexandria via LeMat-Bulk.

Space-group type: No. 122
Calculated formation energy (eV/f.u.): 0.46

Unit cell a=9.560 b=9.560 c=9.560 alpha=155.92 beta=155.92 gamma=34.32
Fractional positions:
Li1 0.000 0.000 0.000
Li2 0.750 0.250 0.500
Mg1 0.139 0.625 0.014
Mg2 0.375 0.389 0.514
Mg3 0.611 0.125 0.986
Mg4 0.875 0.861 0.486
Rh1 0.250 0.750 0.500
Rh2 0.500 0.500 0.000


(9)
First-principles (PBE) data for Li2MgRh2 after structural relaxation, as listed in Alexandria via LeMat-Bulk.

E above lowest polymorph (meV/atom): 116
Space-group type: No. 127
Calculated formation energy (eV/f.u.): -0.34

Unit cell a=6.989 b=6.989 c=2.988 alpha=90.00 beta=90.00 gamma=90.00
Fractional positions:
Li1 0.165 0.335 0.000
Li2 0.335 0.835 0.000
Li3 0.665 0.165 0.000
Li4 0.835 0.665 0.000
Mg1 0.000 0.000 0.500
Mg2 0.500 0.500 0.500
Rh1 0.131 0.631 0.500
Rh2 0.369 0.131 0.500
Rh3 0.631 0.869 0.500
Rh4 0.869 0.369 0.500


(10)
First-principles (PBE) data for Li8MgRh6 after structural relaxation, as listed in Alexandria via LeMat-Bulk.

Space-group type: No. 148
Calculated formation energy (eV/f.u.): -1.60

Unit cell a=6.464 b=6.464 c=6.464 alpha=65.74 beta=65.74 gamma=65.74
Fractional positions:
Li1 0.076 0.076 0.076
Li2 0.135 0.285 0.576
Li3 0.285 0.576 0.135
Li4 0.424 0.865 0.715
Li5 0.576 0.135 0.285
Li6 0.715 0.424 0.865
Li7 0.865 0.715 0.424
Li8 0.924 0.924 0.924
Mg1 0.500 0.500 0.500
Rh1 0.053 0.602 0.771
Rh2 0.229 0.947 0.398
Rh3 0.398 0.229 0.947
Rh4 0.602 0.771 0.053
Rh5 0.771 0.053 0.602
Rh6 0.947 0.398 0.229


(11)
First-principles (PBE) data for LiMg3Rh2 after structural relaxation, as listed in Alexandria via LeMat-Bulk.

E above lowest polymorph (meV/atom): 0
Space-group type: No. 164
Calculated formation energy (eV/f.u.): -2.50

Unit cell a=4.474 b=4.474 c=10.950 alpha=90.00 beta=90.00 gamma=120.00
Fractional positions:
Li1 0.333 0.667 0.169
Li2 0.667 0.333 0.831
Mg1 0.000 0.000 0.257
Mg2 0.000 0.000 0.743
Mg3 0.333 0.667 0.423
Mg4 0.333 0.667 0.916
Mg5 0.667 0.333 0.084
Mg6 0.667 0.333 0.577
Rh1 0.000 0.000 0.000
Rh2 0.000 0.000 0.500
Rh3 0.333 0.667 0.670
Rh4 0.667 0.333 0.330


(12)
First-principles (PBE) data for LiMg6Rh5 after structural relaxation, as listed in Alexandria via LeMat-Bulk.

Space-group type: No. 12
Calculated formation energy (eV/f.u.): -5.57

Unit cell a=7.693 b=7.693 c=4.420 alpha=106.67 beta=106.67 gamma=119.95
Fractional positions:
Li1 0.000 0.000 0.000
Mg1 0.084 0.427 0.256
Mg2 0.261 0.261 0.761
Mg3 0.427 0.084 0.256
Mg4 0.573 0.916 0.744
Mg5 0.739 0.739 0.239
Mg6 0.916 0.573 0.744
Rh1 0.160 0.840 0.500
Rh2 0.335 0.665 0.000
Rh3 0.500 0.500 0.500
Rh4 0.665 0.335 0.000
Rh5 0.840 0.160 0.500


Question: The highest calculated formation energy belongs to which entry?
Answer: Li8MgRh2


Question: What is the calculated formation energy in the fifth record?
Answer: -0.38 eV/f.u.


Question: calculated formation energy of number 12 (LiMg6Rh5)?
Answer: -5.57 eV/f.u.